The following is a PBE calculation of an optimized crystal structure of Sn4Au5, from the Alexandria database.

VASP energy = -3.666 eV per atom
mass density = 10.8 Mg/m³
DFT formation energy = -0.07 eV/atom

```
Sn4Au5
1.0
-3.8525 -0.6257 0.3591
-2.1188 -3.1531 -6.8361
-0.5460 -7.2263 2.9405
Sn Au
4 5
Direct
0.7344 0.3646 0.1665 Sn
0.9009 0.8335 0.3646 Sn
0.0991 0.1665 0.6354 Sn
0.2656 0.6354 0.8335 Sn
0.5812 0.7216 0.1159 Au
0.6972 0.8841 0.7216 Au
0.3028 0.1159 0.2784 Au
0.4188 0.2784 0.8841 Au
0.0000 0.0000 0.0000 Au
```

---

The following is a PBE calculation of an optimized crystal structure of SnAu, from the Alexandria database.

VASP energy = -3.482 eV per atom
mass density = 6.8 Mg/m³
DFT formation energy = 0.16 eV/atom

```
SnAu
1.0
7.7205 0.0000 0.0000
0.0000 7.7205 0.0000
0.0000 0.0000 7.7205
Sn Au
6 6
Direct
0.2500 0.0000 0.5000 Sn
0.7500 0.0000 0.5000 Sn
0.0000 0.5000 0.2500 Sn
0.0000 0.5000 0.7500 Sn
0.5000 0.2500 0.0000 Sn
0.5000 0.7500 0.0000 Sn
0.2500 0.5000 0.0000 Au
0.7500 0.5000 0.0000 Au
0.5000 0.0000 0.2500 Au
0.5000 0.0000 0.7500 Au
0.0000 0.2500 0.5000 Au
0.0000 0.7500 0.5000 Au
```

---

The following is a PBE calculation of an optimized crystal structure of Sn4Au, from the Alexandria database.

VASP energy = -3.530 eV per atom
mass density = 7.1 Mg/m³
excess energy over the best structure of this formula in the dataset = 0.401 eV/atom
DFT formation energy = 0.33 eV/atom

```
Sn4Au
1.0
5.3955 0.0000 0.0000
0.0000 5.3955 0.0000
0.0000 0.0000 5.3955
Au Sn
1 4
Direct
0.5000 0.5000 0.5000 Au
0.0000 0.0000 0.0000 Sn
0.5000 0.0000 0.5000 Sn
0.0000 0.5000 0.5000 Sn
0.5000 0.5000 0.0000 Sn
```

---

The following is a PBE calculation of an optimized crystal structure of Sn5Au, from the Alexandria database.

VASP energy = -3.858 eV per atom
mass density = 8.4 Mg/m³
excess energy over the best structure of this formula in the dataset = 0.000 eV/atom
DFT formation energy = 0.02 eV/atom

```
Sn5Au
1.0
-2.4428 -0.3388 3.1716
3.8719 -1.5063 2.8214
-0.4743 8.0865 0.4985
Au Sn
1 5
Direct
0.0000 0.0000 0.0000 Au
0.5000 0.8590 0.7181 Sn
0.0000 0.6778 0.3556 Sn
0.5000 0.5000 0.0000 Sn
0.0000 0.3222 0.6444 Sn
0.5000 0.1410 0.2819 Sn
```

---

The following is a PBE calculation of an optimized crystal structure of Sn3Au, from the Alexandria database.

VASP energy = -3.858 eV per atom
mass density = 9.0 Mg/m³
excess energy over the best structure of this formula in the dataset = 0.034 eV/atom
DFT formation energy = -0.04 eV/atom

```
Sn3Au
1.0
-0.3916 -0.0052 -3.9256
-4.0279 -4.7120 0.4081
-5.6726 6.1648 0.5577
Sn Au
6 2
Direct
0.2500 0.5567 0.8566 Sn
0.7500 0.9427 0.1390 Sn
0.7500 0.4433 0.1434 Sn
0.2500 0.0573 0.8610 Sn
0.2500 0.2394 0.4154 Sn
0.7500 0.7606 0.5846 Sn
0.2500 0.7335 0.3390 Au
0.7500 0.2665 0.6610 Au
```

---

The following is a PBE calculation of an optimized crystal structure of Sn4Au, from the Alexandria database.

VASP energy = -3.903 eV per atom
mass density = 8.4 Mg/m³
excess energy over the best structure of this formula in the dataset = 0.028 eV/atom
DFT formation energy = -0.05 eV/atom

```
Sn4Au
1.0
5.7622 0.0000 -2.6029
-1.1758 5.6409 -2.6029
0.1446 0.1779 7.9996
Sn Au
8 2
Direct
0.9872 0.8876 0.3253 Sn
0.1878 0.2372 0.8253 Sn
0.7628 0.3624 0.1747 Sn
0.1124 0.6618 0.6747 Sn
0.6376 0.5882 0.8253 Sn
0.4118 0.8122 0.1747 Sn
0.5622 0.0128 0.6747 Sn
0.3382 0.4378 0.3253 Sn
0.7500 0.2500 0.5000 Au
0.0000 0.0000 0.0000 Au
```

---

The following is a PBE calculation of an optimized crystal structure of Sn2Au, from the Alexandria database.

VASP energy = -3.896 eV per atom
mass density = 9.2 Mg/m³
DFT formation energy = -0.14 eV/atom

```
Sn2Au
1.0
-6.1613 3.1515 -0.3552
-2.5242 -4.3915 4.8214
2.7635 5.7303 2.9066
Sn Au
8 4
Direct
0.3652 0.1513 0.3489 Sn
0.8652 0.8487 0.1511 Sn
0.6348 0.8487 0.6511 Sn
0.1348 0.1513 0.8489 Sn
0.8651 0.3487 0.6510 Sn
0.3651 0.6513 0.8490 Sn
0.1349 0.6513 0.3490 Sn
0.6349 0.3487 0.1510 Sn
0.5000 0.2500 0.7499 Au
0.0000 0.7500 0.7501 Au
0.5000 0.7500 0.2501 Au
0.0000 0.2500 0.2499 Au
```

---

The following is a PBE calculation of an optimized crystal structure of SnAu, from the Alexandria database.

VASP energy = -3.794 eV per atom
mass density = 11.5 Mg/m³
DFT formation energy = -0.15 eV/atom

```
SnAu
1.0
4.0364 0.0000 0.2322
0.0000 4.0802 0.0000
-1.6997 0.0000 5.4406
Au Sn
2 2
Direct
0.8532 0.2500 0.8077 Au
0.1468 0.7500 0.1923 Au
0.6717 0.2500 0.2886 Sn
0.3283 0.7500 0.7114 Sn
```

---

Copy entry 2 word for word.
The following is a PBE calculation of an optimized crystal structure of SnAu, from the Alexandria database.

VASP energy = -3.482 eV per atom
mass density = 6.8 Mg/m³
DFT formation energy = 0.16 eV/atom

```
SnAu
1.0
7.7205 0.0000 0.0000
0.0000 7.7205 0.0000
0.0000 0.0000 7.7205
Sn Au
6 6
Direct
0.2500 0.0000 0.5000 Sn
0.7500 0.0000 0.5000 Sn
0.0000 0.5000 0.2500 Sn
0.0000 0.5000 0.7500 Sn
0.5000 0.2500 0.0000 Sn
0.5000 0.7500 0.0000 Sn
0.2500 0.5000 0.0000 Au
0.7500 0.5000 0.0000 Au
0.5000 0.0000 0.2500 Au
0.5000 0.0000 0.7500 Au
0.0000 0.2500 0.5000 Au
0.0000 0.7500 0.5000 Au
```